P.
A plane-wave DFT calculation with PBE was carried out for ErGeHO4 after structural relaxation.

a = 5.1644 Å, b = 11.4878 Å, c = 4.7515 Å
α = 90.00°, β = 90.00°, γ = 90.00°
Sites, in units of the cell vectors:
Er1 0.0000 0.1189 0.2500
Er2 0.0000 0.8811 0.7500
Er3 0.5000 0.3811 0.7500
Er4 0.5000 0.6189 0.2500
Ge1 0.0000 0.3932 0.2500
Ge2 0.0000 0.6068 0.7500
Ge3 0.5000 0.1068 0.7500
Ge4 0.5000 0.8932 0.2500
H1 0.0000 0.2975 0.7500
H2 0.0000 0.7025 0.2500
H3 0.5000 0.2025 0.2500
H4 0.5000 0.7975 0.7500
O1 0.1220 0.2963 0.5255
O2 0.1220 0.7037 0.0255
O3 0.2364 0.0405 0.5870
O4 0.2364 0.9595 0.0870
O5 0.2636 0.4595 0.0870
O6 0.2636 0.5405 0.5870
O7 0.3780 0.2037 0.0255
O8 0.3780 0.7963 0.5255
O9 0.6220 0.2037 0.4745
O10 0.6220 0.7963 0.9745
O11 0.7364 0.4595 0.4130
O12 0.7364 0.5405 0.9130
O13 0.7636 0.0405 0.9130
O14 0.7636 0.9595 0.4130
O15 0.8780 0.2963 0.9745
O16 0.8780 0.7037 0.4745

## Properties
**Symmetry**: No. 60
**Magnetic moment**: 0.00 μB per atom
**Crystal system**: orthorhombic

=====

Q.
A plane-wave DFT calculation with PBE was carried out for ErGeHO4 after structural relaxation.

a = 7.7727 Å, b = 6.7235 Å, c = 6.8112 Å
α = 90.00°, β = 112.77°, γ = 90.00°
Sites, in units of the cell vectors:
Er1 0.2040 0.1414 0.0992
Er2 0.2040 0.3586 0.5992
Er3 0.7960 0.6414 0.4008
Er4 0.7960 0.8586 0.9008
Ge1 0.2425 0.6060 0.1253
Ge2 0.2425 0.8940 0.6253
Ge3 0.7575 0.1060 0.3747
Ge4 0.7575 0.3940 0.8747
H1 0.4734 0.6894 0.8865
H2 0.4734 0.8106 0.3865
H3 0.5266 0.1894 0.6135
H4 0.5266 0.3106 0.1135
O1 0.1043 0.6819 0.5489
O2 0.1043 0.8181 0.0489
O3 0.1823 0.0772 0.7693
O4 0.1823 0.4228 0.2693
O5 0.2808 0.0455 0.4363
O6 0.2808 0.4545 0.9363
O7 0.4745 0.6976 0.2940
O8 0.4745 0.8024 0.7940
O9 0.5255 0.1976 0.2060
O10 0.5255 0.3024 0.7060
O11 0.7192 0.5455 0.0637
O12 0.7192 0.9545 0.5637
O13 0.8177 0.5772 0.7307
O14 0.8177 0.9228 0.2307
O15 0.8957 0.1819 0.9511
O16 0.8957 0.3181 0.4511

## Properties
**Symmetry**: No. 14
**Magnetic moment**: 0.00 μB per atom
**Crystal system**: monoclinic

=====

R.
A plane-wave DFT calculation with PBE was carried out for ErGeHO4 after structural relaxation.

a = 11.0274 Å, b = 5.9912 Å, c = 4.8790 Å
α = 90.00°, β = 90.00°, γ = 90.00°
Sites, in units of the cell vectors:
Er1 0.2434 0.2500 0.0164
Er2 0.2566 0.7500 0.5164
Er3 0.7434 0.2500 0.4836
Er4 0.7566 0.7500 0.9836
Ge1 0.0653 0.7500 0.9638
Ge2 0.4347 0.2500 0.4638
Ge3 0.5653 0.7500 0.5362
Ge4 0.9347 0.2500 0.0362
H1 0.0000 0.0000 0.5000
H2 0.0000 0.5000 0.5000
H3 0.5000 0.0000 0.0000
H4 0.5000 0.5000 0.0000
O1 0.0579 0.7500 0.3346
O2 0.0675 0.2500 0.2298
O3 0.1623 0.5365 0.8319
O4 0.1623 0.9635 0.8319
O5 0.3377 0.0365 0.3319
O6 0.3377 0.4635 0.3319
O7 0.4325 0.7500 0.7298
O8 0.4421 0.2500 0.8346
O9 0.5579 0.7500 0.1654
O10 0.5675 0.2500 0.2702
O11 0.6623 0.5365 0.6681
O12 0.6623 0.9635 0.6681
O13 0.8377 0.0365 0.1681
O14 0.8377 0.4635 0.1681
O15 0.9325 0.7500 0.7702
O16 0.9421 0.2500 0.6654

## Properties
**Symmetry**: No. 62
**Magnetic moment**: 0.00 μB per atom
**Crystal system**: orthorhombic

=====

Least stable: R

=====

P.
A plane-wave DFT calculation with PBE was carried out for ErGeH2O4 after structural relaxation.

a = 4.9945 Å, b = 6.1311 Å, c = 11.9186 Å
α = 90.00°, β = 102.96°, γ = 90.00°
Sites, in units of the cell vectors:
Er1 0.0504 0.2217 0.3386
Er2 0.0504 0.2783 0.8386
Er3 0.9496 0.7217 0.1614
Er4 0.9496 0.7783 0.6614
Ge1 0.2859 0.2091 0.1018
Ge2 0.2859 0.2909 0.6018
Ge3 0.7141 0.7091 0.3982
Ge4 0.7141 0.7909 0.8982
H1 0.3486 0.7454 0.5107
H2 0.3486 0.7546 0.0107
H3 0.4749 0.0265 0.7433
H4 0.4749 0.4735 0.2433
H5 0.5251 0.5265 0.7567
H6 0.5251 0.9735 0.2567
H7 0.6514 0.2454 0.9893
H8 0.6514 0.2546 0.4893
O1 0.0455 0.7505 0.4893
O2 0.0455 0.7495 0.9893
O3 0.2238 0.5017 0.7178
O4 0.2238 0.9983 0.2178
O5 0.2644 0.0511 0.7142
O6 0.2644 0.4489 0.2142
O7 0.4395 0.2452 0.9649
O8 0.4395 0.2548 0.4649
O9 0.5605 0.7452 0.5351
O10 0.5605 0.7548 0.0351
O11 0.7356 0.5511 0.7858
O12 0.7356 0.9489 0.2858
O13 0.7762 0.0017 0.7822
O14 0.7762 0.4983 0.2822
O15 0.9545 0.2505 0.0107
O16 0.9545 0.2495 0.5107

## Properties
**Symmetry**: No. 14
**Magnetic moment**: 0.00 μB per atom
**Crystal system**: monoclinic

=====

Q.
A plane-wave DFT calculation with PBE was carried out for ErGeH2O4 after structural relaxation.

a = 4.9367 Å, b = 6.1613 Å, c = 5.9564 Å
α = 90.00°, β = 103.43°, γ = 90.00°
Sites, in units of the cell vectors:
Er1 0.0499 0.2500 0.1724
Er2 0.9501 0.7500 0.8276
Ge1 0.2995 0.2500 0.7063
Ge2 0.7005 0.7500 0.2937
H1 0.3360 0.7500 0.5221
H2 0.5000 0.0000 0.0000
H3 0.5000 0.5000 0.0000
H4 0.6640 0.2500 0.4779
O1 0.0373 0.7500 0.4807
O2 0.2518 0.0242 0.9353
O3 0.2518 0.4758 0.9353
O4 0.4471 0.2500 0.4300
O5 0.5529 0.7500 0.5700
O6 0.7482 0.5242 0.0647
O7 0.7482 0.9758 0.0647
O8 0.9627 0.2500 0.5193

## Properties
**Symmetry**: No. 11
**Magnetic moment**: 0.00 μB per atom
**Crystal system**: monoclinic

=====

R.
A plane-wave DFT calculation with PBE was carried out for ErGeH2O4 after structural relaxation.

a = 6.0730 Å, b = 6.0453 Å, c = 7.0724 Å
α = 54.48°, β = 54.11°, γ = 71.41°
Sites, in units of the cell vectors:
Er1 0.0000 0.0000 0.0000
Er2 0.2500 0.2500 0.2500
Ge1 0.5374 0.5374 0.4626
Ge2 0.7874 0.7874 0.7126
H1 0.1532 0.5834 0.8329
H2 0.4171 0.8195 0.0968
H3 0.5834 0.1532 0.4305
H4 0.8195 0.4171 0.6666
O1 0.0304 0.9082 0.7152
O2 0.2529 0.4080 0.8626
O3 0.3874 0.7735 0.9971
O4 0.4080 0.2529 0.4765
O5 0.5348 0.9037 0.2196
O6 0.7735 0.3874 0.8420
O7 0.9037 0.5348 0.3418
O8 0.9082 0.0304 0.3463

## Properties
**Symmetry**: No. 43
**Magnetic moment**: 0.00 μB per atom
**Crystal system**: orthorhombic

=====

S.
A plane-wave DFT calculation with PBE was carried out for ErGeH2O4 after structural relaxation.

a = 6.2029 Å, b = 6.2029 Å, c = 6.2029 Å
α = 115.01°, β = 115.01°, γ = 98.89°
Sites, in units of the cell vectors:
Er1 0.0000 0.0000 0.0000
Er2 0.7500 0.2500 0.5000
Ge1 0.2500 0.7500 0.5000
Ge2 0.5000 0.5000 0.0000
H1 0.0181 0.5181 0.5000
H2 0.2681 0.2681 0.0000
H3 0.4819 0.9819 0.5000
H4 0.7319 0.7319 0.0000
O1 0.0430 0.7232 0.6703
O2 0.0529 0.3727 0.3297
O3 0.1227 0.3029 0.8297
O4 0.2768 0.9471 0.3199
O5 0.4732 0.2930 0.1703
O6 0.6273 0.9570 0.6801
O7 0.6971 0.5268 0.8199
O8 0.7070 0.8773 0.1801

## Properties
**Symmetry**: No. 122
**Magnetic moment**: 0.00 μB per atom
**Crystal system**: tetragonal

=====

Least stable: S

=====

P.
A plane-wave DFT calculation with PBE was carried out for HoErSiGeOs after structural relaxation.

a = 5.7105 Å, b = 5.7105 Å, c = 10.0637 Å
α = 116.14°, β = 116.14°, γ = 43.26°
Sites, in units of the cell vectors:
Ho1 0.1859 0.1859 0.1161
Ho2 0.8141 0.8141 0.8839
Er1 0.0060 0.0060 0.6734
Er2 0.9940 0.9940 0.3266
Si1 0.3575 0.3575 0.4403
Si2 0.6425 0.6425 0.5597
Ge1 0.4872 0.4872 0.1256
Ge2 0.5128 0.5128 0.8744
Os1 0.2662 0.2662 0.6244
Os2 0.7338 0.7338 0.3756

## Properties
**Symmetry**: No. 12
**Magnetic moment**: 0.00 μB per atom
**Crystal system**: monoclinic

=====

Q.
A plane-wave DFT calculation with PBE was carried out for HoErSiGeOs after structural relaxation.

a = 5.7193 Å, b = 5.7193 Å, c = 10.0582 Å
α = 116.21°, β = 116.21°, γ = 43.24°
Sites, in units of the cell vectors:
Ho1 0.0069 0.0069 0.1743
Ho2 0.9931 0.9931 0.8257
Er1 0.1852 0.1852 0.6162
Er2 0.8148 0.8148 0.3838
Si1 0.3568 0.3568 0.9400
Si2 0.6432 0.6432 0.0600
Ge1 0.4869 0.4869 0.6249
Ge2 0.5131 0.5131 0.3751
Os1 0.2667 0.2667 0.1248
Os2 0.7333 0.7333 0.8752

## Properties
**Symmetry**: No. 12
**Magnetic moment**: 0.00 μB per atom
**Crystal system**: monoclinic

=====

Least stable: Q

=====

P.
A plane-wave DFT calculation with PBE was carried out for LaErGe2Ir after structural relaxation.

a = 5.8049 Å, b = 5.8049 Å, c = 10.4230 Å
α = 114.40°, β = 114.40°, γ = 44.44°
Sites, in units of the cell vectors:
La1 0.1957 0.1957 0.1182
La2 0.8043 0.8043 0.8818
Er1 0.0139 0.0139 0.3356
Er2 0.9861 0.9861 0.6644
Ge1 0.3559 0.3559 0.4513
Ge2 0.4912 0.4912 0.1266
Ge3 0.5088 0.5088 0.8734
Ge4 0.6441 0.6441 0.5487
Ir1 0.2623 0.2623 0.6561
Ir2 0.7377 0.7377 0.3439

## Properties
**Symmetry**: No. 12
**Magnetic moment**: 0.00 μB per atom
**Crystal system**: monoclinic

=====

Q.
A plane-wave DFT calculation with PBE was carried out for LaErGe2Ir after structural relaxation.

a = 5.8193 Å, b = 5.8193 Å, c = 10.7131 Å
α = 115.36°, β = 115.36°, γ = 43.78°
Sites, in units of the cell vectors:
La1 0.0055 0.0055 0.3276
La2 0.9945 0.9945 0.6724
Er1 0.1859 0.1859 0.1181
Er2 0.8141 0.8141 0.8819
Ge1 0.3436 0.3436 0.4425
Ge2 0.4786 0.4786 0.1090
Ge3 0.5214 0.5214 0.8910
Ge4 0.6564 0.6564 0.5575
Ir1 0.2759 0.2759 0.6749
Ir2 0.7241 0.7241 0.3251

## Properties
**Symmetry**: No. 12
**Magnetic moment**: 0.00 μB per atom
**Crystal system**: monoclinic

=====

Least stable: Q